1.
Compound: LiPrH4
Source: Alexandria
Functional: PBE-GGA
Structure: relaxed Values from VASP.

SG = No. 12

Structure (Quantum ESPRESSO input):
```
&SYSTEM
  ibrav = 0, nat = 6, ntyp = 3
/
ATOMIC_SPECIES
Li 6.94 Li.upf
Pr 140.91 Pr.upf
H 1.01 H.upf
ATOMIC_POSITIONS crystal
Li 0.000 0.000 0.000
Pr 0.500 0.500 0.500
H 0.001 0.501 0.759
H 0.499 0.999 0.241
H 0.501 0.001 0.759
H 0.999 0.499 0.241
CELL_PARAMETERS angstrom
2.707 -2.707 0.000
2.707 2.707 0.000
-0.011 0.000 5.134
```

2.
Compound: Ge5Sb3S12
Source: Alexandria
Functional: PBE-GGA
Structure: relaxed Values from VASP.

SG = No. 230

Structure (Quantum ESPRESSO input):
```
&SYSTEM
  ibrav = 0, nat = 80, ntyp = 3
/
ATOMIC_SPECIES
Ge 72.64 Ge.upf
Sb 121.76 Sb.upf
S 32.06 S.upf
ATOMIC_POSITIONS crystal
Ge 0.000 0.000 0.000
Ge 0.000 0.000 0.500
Ge 0.000 0.500 0.000
Ge 0.000 0.500 0.500
Ge 0.125 0.750 0.875
Ge 0.125 0.875 0.250
Ge 0.250 0.125 0.875
Ge 0.250 0.625 0.375
Ge 0.375 0.250 0.625
Ge 0.375 0.625 0.750
Ge 0.500 0.000 0.000
Ge 0.500 0.000 0.500
Ge 0.500 0.500 0.000
Ge 0.500 0.500 0.500
Ge 0.625 0.375 0.250
Ge 0.625 0.750 0.375
Ge 0.750 0.375 0.625
Ge 0.750 0.875 0.125
Ge 0.875 0.125 0.750
Ge 0.875 0.250 0.125
Sb 0.125 0.250 0.375
Sb 0.125 0.375 0.750
Sb 0.250 0.375 0.125
Sb 0.250 0.875 0.625
Sb 0.375 0.125 0.250
Sb 0.375 0.750 0.125
Sb 0.625 0.250 0.875
Sb 0.625 0.875 0.750
Sb 0.750 0.125 0.375
Sb 0.750 0.625 0.875
Sb 0.875 0.625 0.250
Sb 0.875 0.750 0.625
S 0.032 0.217 0.125
S 0.032 0.314 0.906
S 0.092 0.717 0.686
S 0.092 0.875 0.406
S 0.094 0.625 0.408
S 0.094 0.968 0.686
S 0.125 0.032 0.217
S 0.125 0.594 0.908
S 0.186 0.217 0.592
S 0.186 0.468 0.594
S 0.217 0.125 0.032
S 0.217 0.592 0.186
S 0.283 0.314 0.908
S 0.283 0.468 0.375
S 0.314 0.906 0.032
S 0.314 0.908 0.283
S 0.375 0.283 0.468
S 0.375 0.592 0.906
S 0.406 0.092 0.875
S 0.406 0.814 0.532
S 0.408 0.094 0.625
S 0.408 0.814 0.783
S 0.468 0.375 0.283
S 0.468 0.594 0.186
S 0.532 0.406 0.814
S 0.532 0.625 0.717
S 0.592 0.186 0.217
S 0.592 0.906 0.375
S 0.594 0.186 0.468
S 0.594 0.908 0.125
S 0.625 0.408 0.094
S 0.625 0.717 0.532
S 0.686 0.092 0.717
S 0.686 0.094 0.968
S 0.717 0.532 0.625
S 0.717 0.686 0.092
S 0.783 0.408 0.814
S 0.783 0.875 0.968
S 0.814 0.532 0.406
S 0.814 0.783 0.408
S 0.875 0.406 0.092
S 0.875 0.968 0.783
S 0.906 0.032 0.314
S 0.906 0.375 0.592
S 0.908 0.125 0.594
S 0.908 0.283 0.314
S 0.968 0.686 0.094
S 0.968 0.783 0.875
CELL_PARAMETERS angstrom
-7.733 7.733 7.733
7.733 -7.733 7.733
7.733 7.733 -7.733
```

3.
Compound: Pm2CuSnAu6
Source: Alexandria
Functional: PBE-GGA
Structure: relaxed Values from VASP.

SG = No. 2
formation energy from the elements = -0.42 eV per atom

Structure (Quantum ESPRESSO input):
```
&SYSTEM
  ibrav = 0, nat = 10, ntyp = 4
/
ATOMIC_SPECIES
Pm 145.00 Pm.upf
Cu 63.55 Cu.upf
Sn 118.71 Sn.upf
Au 196.97 Au.upf
ATOMIC_POSITIONS crystal
Pm 0.248 0.262 0.253
Pm 0.752 0.738 0.747
Cu 0.500 0.500 0.500
Sn 0.000 0.000 0.000
Au 0.177 0.774 0.327
Au 0.260 0.556 0.901
Au 0.346 0.175 0.667
Au 0.654 0.825 0.333
Au 0.740 0.444 0.099
Au 0.823 0.226 0.673
CELL_PARAMETERS angstrom
5.468 0.000 0.000
2.349 6.224 0.000
2.625 -0.774 6.505
```

Calculated DFT total energy in order - -3.652, -4.372, -4.144 eV per atom